Material: AlHg2Mo
Method: DFT, SCAN
State: single point on PBEsol structure

Unit cell a=3.0036 b=4.8666 c=9.7696 alpha=90.00 beta=90.00 gamma=90.00
With the nearest neighbours (Å) after each atom.
Fractional coordinates of all 8 atoms:
1 Al 0.0000 0.0000 0.0000  2 Mo 2.63, 6 Hg 2.87
2 Al 0.5000 0.5000 0.5000  2 Mo 2.63, 6 Hg 2.87
3 Hg 0.0000 0.0000 0.5202  4 Al 2.87, 2 Mo 2.94, 4 Hg 3.00-3.04
4 Hg 0.0000 0.5000 0.7497  2 Al 2.87, 4 Mo 2.87, 4 Hg 3.00-3.04
5 Hg 0.5000 0.0000 0.2497  2 Al 2.87, 4 Mo 2.87, 4 Hg 3.00-3.04
6 Hg 0.5000 0.5000 0.0202  4 Al 2.87, 2 Mo 2.94, 4 Hg 3.00-3.04
7 Mo 0.0000 0.5000 0.2787  2 Al 2.63, 6 Hg 2.87-2.94
8 Mo 0.5000 0.0000 0.7787  2 Al 2.63, 6 Hg 2.87-2.94

final energy: -44.358 eV/atom
calculated density: 12.188 g cm⁻³
DOS at the Fermi energy: 4.1 states/eV per cell
calculated formation energy: 1.5 eV/f.u.
space group: Imm2, No. 44

Material: AlHgMo
Method: DFT, SCAN
State: single point on PBEsol structure

Unit cell a=6.0549 b=6.0549 c=6.0549 alpha=90.00 beta=90.00 gamma=90.00
With the nearest neighbours (Å) after each atom.
Fractional coordinates of all 12 atoms:
1 Al 0.0000 0.0000 0.0000  4 Mo 2.62, 4 Hg 2.62
2 Al 0.0000 0.5000 0.5000  4 Mo 2.62, 4 Hg 2.62
3 Al 0.5000 0.0000 0.5000  4 Mo 2.62, 4 Hg 2.62
4 Al 0.5000 0.5000 0.0000  4 Mo 2.62, 4 Hg 2.62
5 Hg 0.2500 0.2500 0.7500  4 Al 2.62
6 Hg 0.2500 0.7500 0.2500  4 Al 2.62
7 Hg 0.7500 0.2500 0.2500  4 Al 2.62
8 Hg 0.7500 0.7500 0.7500  4 Al 2.62
9 Mo 0.2500 0.2500 0.2500  4 Al 2.62
10 Mo 0.2500 0.7500 0.7500  4 Al 2.62
11 Mo 0.7500 0.2500 0.7500  4 Al 2.62
12 Mo 0.7500 0.7500 0.2500  4 Al 2.62

final energy: -36.375 eV/atom
calculated density: 9.680 g cm⁻³
DOS at the Fermi energy: 10.3 states/eV per cell
calculated formation energy: 1.7 eV/f.u.
space group: F-43m, No. 216

Material: AlHg2Mo
Method: DFT, SCAN
State: single point on PBEsol structure

Unit cell a=2.9435 b=3.6192 c=6.7458 alpha=90.00 beta=90.00 gamma=90.00
With the nearest neighbours (Å) after each atom.
Fractional coordinates of all 4 atoms:
1 Al 0.0000 0.0000 0.0000  4 Mo 2.63, 4 Hg 2.92, 2 Al 2.94
2 Hg 0.0000 0.0000 0.5500  6 Hg 2.94-3.04, 4 Mo 2.95, 1 Al 3.04
3 Hg 0.5000 0.5000 0.2609  4 Al 2.92, 6 Hg 2.94-3.04, 1 Mo 2.98
4 Mo 0.5000 0.5000 0.8188  4 Al 2.63, 2 Mo 2.94

final energy: -44.418 eV/atom
calculated density: 12.111 g cm⁻³
DOS at the Fermi energy: 2.0 states/eV per cell
calculated formation energy: 1.3 eV/f.u.
space group: Pmm2, No. 25

Material: Al2HgMo
Method: DFT, SCAN
State: single point on PBEsol structure

Unit cell a=2.9918 b=3.9439 c=5.5530 alpha=90.00 beta=90.00 gamma=90.00
With the nearest neighbours (Å) after each atom.
Fractional coordinates of all 4 atoms:
1 Al 0.0000 0.0000 0.0000  4 Mo 2.72, 2 Hg 2.76-2.80, 6 Al 2.90-2.99
2 Al 0.5000 0.5000 0.2707  2 Mo 2.63-2.92, 4 Hg 2.79, 4 Al 2.90
3 Hg 0.0000 0.0000 0.5037  6 Al 2.76-2.80, 4 Mo 2.96, 2 Hg 2.99
4 Mo 0.5000 0.5000 0.7970  6 Al 2.63-2.92

final energy: -29.573 eV/atom
calculated density: 8.883 g cm⁻³
DOS at the Fermi energy: 2.1 states/eV per cell
calculated formation energy: 0.3 eV/f.u.
space group: Pmm2, No. 25

Material: AlHgSb2Mo
Method: DFT, SCAN
State: single point on PBEsol structure

Unit cell a=5.3920 b=5.3920 c=5.2484 alpha=90.00 beta=90.00 gamma=90.00
With the nearest neighbours (Å) after each atom.
Fractional coordinates of all 5 atoms:
1 Al 0.0000 0.0000 0.0000  8 Sb 3.76, 4 Mo 3.81
2 Hg 0.5000 0.5000 0.5000  2 Mo 2.62, 4 Sb 2.70
3 Sb 0.0000 0.5000 0.5000  2 Hg 2.70
4 Sb 0.5000 0.0000 0.5000  2 Hg 2.70
5 Mo 0.5000 0.5000 0.0000  2 Hg 2.62

final energy: -35.630 eV/atom
formation energy without anion corrections: 1.43 eV per atom
calculated density: 6.171 g cm⁻³
DOS at the Fermi energy: 3.3 states/eV per cell
space group: P4/mmm, No. 123

Material: AlHgTeMo2
Method: DFT, SCAN
State: single point on PBEsol structure

Unit cell a=4.7917 b=4.7917 c=4.6661 alpha=90.00 beta=90.00 gamma=90.00
With the nearest neighbours (Å) after each atom.
Fractional coordinates of all 5 atoms:
1 Al 0.0000 0.0000 0.0000  2 Hg 2.33, 4 Mo 2.40
2 Hg 0.0000 0.0000 0.5000  2 Al 2.33
3 Te 0.5000 0.5000 0.5000  8 Mo 3.34, 4 Hg 3.39
4 Mo 0.0000 0.5000 0.0000  2 Al 2.40
5 Mo 0.5000 0.0000 0.0000  2 Al 2.40

final energy: -35.343 eV/atom
formation energy without anion corrections: 1.25 eV per atom
calculated density: 8.479 g cm⁻³
DOS at the Fermi energy: 3.6 states/eV per cell
space group: P4/mmm, No. 123